Record 1
Entry from the Alexandria database: DyS5Cl after structural relaxation (PBE-GGA).

uncorrected formation energy = -727 meV per atom
magnetic moment = 0.000 μB per atom
space-group type = C2

abc: 11.664 11.664 4.156
angles: 98.64 98.64 151.51
Atoms (fractional coordinates):
Dy1 0.000 0.000 0.000
S1 0.044 0.576 0.477
S2 0.174 0.295 0.684
S3 0.424 0.956 0.523
S4 0.705 0.826 0.316
S5 0.790 0.210 0.000
Cl1 0.567 0.433 0.500

***

Record 2
Entry from the Alexandria database: Dy2SCl2 after structural relaxation (PBE-GGA).

uncorrected formation energy = -2040 meV per atom
N(E_F) = 1.081 states/eV/cell
magnetic moment = 0.000 μB per atom
space-group type = C2/m

abc: 3.899 3.899 10.666
angles: 101.70 101.70 59.99
Atoms (fractional coordinates):
Dy1 0.219 0.219 0.141
Dy2 0.781 0.781 0.859
S1 0.500 0.500 0.000
Cl1 0.055 0.055 0.698
Cl2 0.945 0.945 0.302

***

Record 3
Entry from the Alexandria database: Dy3ZnSCl after structural relaxation (PBE-GGA).

uncorrected formation energy = -1177 meV per atom
N(E_F) = 7.603 states/eV/cell
magnetic moment = 0.003 μB per atom
space-group type = P2_1/m

abc: 7.549 3.850 10.518
angles: 90.00 107.85 90.00
Atoms (fractional coordinates):
Dy1 0.171 0.250 0.139
Dy2 0.203 0.250 0.491
Dy3 0.318 0.750 0.837
Dy4 0.682 0.250 0.163
Dy5 0.797 0.750 0.509
Dy6 0.829 0.750 0.861
Zn1 0.013 0.250 0.714
Zn2 0.987 0.750 0.286
S1 0.406 0.750 0.107
S2 0.594 0.250 0.893
Cl1 0.472 0.750 0.620
Cl2 0.528 0.250 0.380

***

Record 4
Entry from the Alexandria database: Dy2ScCl after structural relaxation (PBE-GGA).

uncorrected formation energy = -345 meV per atom
N(E_F) = 5.798 states/eV/cell
magnetic moment = 0.144 μB per atom
space-group type = R-3m

abc: 11.068 11.068 11.068
angles: 17.41 17.41 17.41
Atoms (fractional coordinates):
Dy1 0.098 0.098 0.098
Dy2 0.902 0.902 0.902
Sc1 0.000 0.000 0.000
Cl1 0.500 0.500 0.500

***

Record 5
Entry from the Alexandria database: Dy3SeCl7 after structural relaxation (PBE-GGA).

uncorrected formation energy = -2197 meV per atom
N(E_F) = 0.000 states/eV/cell
magnetic moment = 0.007 μB per atom
space-group type = Cm

abc: 7.823 7.823 9.677
angles: 126.19 126.19 62.25
Atoms (fractional coordinates):
Dy1 0.000 0.000 0.000
Dy2 0.484 0.999 0.485
Dy3 0.999 0.484 0.485
Se1 0.280 0.280 0.324
Cl1 0.205 0.205 0.634
Cl2 0.205 0.741 0.168
Cl3 0.238 0.771 0.811
Cl4 0.716 0.716 0.659
Cl5 0.741 0.205 0.168
Cl6 0.770 0.770 0.345
Cl7 0.771 0.238 0.811

***

Record 6
Entry from the Alexandria database: Dy2Se2Cl after structural relaxation (PBE-GGA).

uncorrected formation energy = -1918 meV per atom
N(E_F) = 3.248 states/eV/cell
magnetic moment = 0.000 μB per atom
space-group type = C2/m

abc: 6.997 6.997 8.093
angles: 109.37 109.37 47.87
Atoms (fractional coordinates):
Dy1 0.005 0.005 0.245
Dy2 0.337 0.337 0.921
Dy3 0.663 0.663 0.079
Dy4 0.995 0.995 0.755
Se1 0.175 0.175 0.097
Se2 0.490 0.490 0.738
Se3 0.510 0.510 0.262
Se4 0.825 0.825 0.903
Cl1 0.153 0.153 0.597
Cl2 0.847 0.847 0.403

***

Record 7
Entry from the Alexandria database: DySe6Cl12 after structural relaxation (PBE-GGA).

uncorrected formation energy = -549 meV per atom
N(E_F) = 10.570 states/eV/cell
magnetic moment = 0.000 μB per atom
space-group type = R-3

abc: 13.030 13.030 13.030
angles: 35.52 35.52 35.52
Atoms (fractional coordinates):
Dy1 0.000 0.000 0.000
Se1 0.111 0.186 0.460
Se2 0.186 0.460 0.111
Se3 0.460 0.111 0.186
Se4 0.540 0.889 0.814
Se5 0.814 0.540 0.889
Se6 0.889 0.814 0.540
Cl1 0.113 0.271 0.740
Cl2 0.122 0.776 0.499
Cl3 0.224 0.501 0.878
Cl4 0.260 0.887 0.729
Cl5 0.271 0.740 0.113
Cl6 0.499 0.122 0.776
Cl7 0.501 0.878 0.224
Cl8 0.729 0.260 0.887
Cl9 0.740 0.113 0.271
Cl10 0.776 0.499 0.122
Cl11 0.878 0.224 0.501
Cl12 0.887 0.729 0.260

***

Record 8
Entry from the Alexandria database: Dy3SeCl7 after structural relaxation (PBE-GGA).

uncorrected formation energy = -2196 meV per atom
N(E_F) = 0.000 states/eV/cell
magnetic moment = 0.009 μB per atom
space-group type = P3m1

abc: 8.081 8.081 6.807
angles: 90.00 90.00 120.00
Atoms (fractional coordinates):
Dy1 0.172 0.343 0.000
Dy2 0.172 0.828 0.000
Dy3 0.657 0.828 0.000
Se1 0.333 0.667 0.765
Cl1 0.000 0.000 0.223
Cl2 0.022 0.511 0.217
Cl3 0.310 0.155 0.803
Cl4 0.489 0.511 0.217
Cl5 0.489 0.978 0.217
Cl6 0.845 0.155 0.803
Cl7 0.845 0.690 0.803

***

Record 9
Entry from the Alexandria database: Dy2SeCl3 after structural relaxation (PBE-GGA).

uncorrected formation energy = -1963 meV per atom
N(E_F) = 4.593 states/eV/cell
magnetic moment = 0.000 μB per atom
space-group type = C2/m

abc: 8.342 8.342 12.667
angles: 123.42 123.42 28.70
Atoms (fractional coordinates):
Dy1 0.104 0.104 0.446
Dy2 0.370 0.370 0.164
Dy3 0.630 0.630 0.836
Dy4 0.896 0.896 0.554
Se1 0.115 0.115 0.682
Se2 0.885 0.885 0.318
Cl1 0.161 0.161 0.009
Cl2 0.268 0.268 0.411
Cl3 0.436 0.436 0.730
Cl4 0.564 0.564 0.270
Cl5 0.732 0.732 0.589
Cl6 0.839 0.839 0.991

***

Record 10
Entry from the Alexandria database: Dy4SiSe2Cl after structural relaxation (PBE-GGA).

uncorrected formation energy = -1440 meV per atom
N(E_F) = 3.970 states/eV/cell
magnetic moment = 0.000 μB per atom
space-group type = P2/m

abc: 7.042 4.072 7.088
angles: 90.00 109.10 90.00
Atoms (fractional coordinates):
Dy1 0.238 0.000 0.230
Dy2 0.253 0.500 0.772
Dy3 0.747 0.500 0.228
Dy4 0.762 0.000 0.770
Si1 0.000 0.500 0.000
Se1 0.500 0.000 0.000
Se2 0.500 0.500 0.500
Cl1 0.000 0.000 0.500

***

Record 11
Entry from the Alexandria database: Dy2SiCl after structural relaxation (PBE-GGA).

uncorrected formation energy = -1033 meV per atom
N(E_F) = 4.663 states/eV/cell
magnetic moment = 0.000 μB per atom
excess energy over the best structure of this formula in the dataset = 0.341 eV per formula unit
space-group type = P1

abc: 4.170 7.113 7.630
angles: 73.83 89.99 90.00
Atoms (fractional coordinates):
Dy1 0.000 0.000 0.000
Dy2 0.000 0.211 0.395
Dy3 0.416 0.500 0.000
Dy4 0.416 0.711 0.396
Si1 0.492 0.105 0.198
Si2 0.923 0.605 0.198
Cl1 0.210 0.855 0.698
Cl2 0.213 0.355 0.697

***

Record 12
Entry from the Alexandria database: Dy2SiCl after structural relaxation (PBE-GGA).

uncorrected formation energy = -1118 meV per atom
N(E_F) = 1.870 states/eV/cell
magnetic moment = 0.000 μB per atom
excess energy over the best structure of this formula in the dataset = 0.000 eV per formula unit
space-group type = R-3m

abc: 7.065 7.065 7.065
angles: 33.93 33.93 33.93
Atoms (fractional coordinates):
Dy1 0.240 0.240 0.240
Dy2 0.760 0.760 0.760
Si1 0.500 0.500 0.500
Cl1 0.000 0.000 0.000

***

Record 13
Entry from the Alexandria database: Dy2SiCl after structural relaxation (PBE-GGA).

uncorrected formation energy = -1053 meV per atom
N(E_F) = 2.328 states/eV/cell
magnetic moment = 0.000 μB per atom
excess energy over the best structure of this formula in the dataset = 0.258 eV per formula unit
space-group type = R3m

abc: 7.551 7.551 7.551
angles: 31.06 31.06 31.06
Atoms (fractional coordinates):
Dy1 0.000 0.000 0.000
Dy2 0.194 0.194 0.194
Si1 0.596 0.596 0.596
Cl1 0.768 0.768 0.768

***

Record 14
Entry from the Alexandria database: DySiCl6 after structural relaxation (PBE-GGA).

uncorrected formation energy = -1419 meV per atom
N(E_F) = 2.849 states/eV/cell
magnetic moment = 0.000 μB per atom
space-group type = C2/m

abc: 7.085 7.085 6.289
angles: 97.26 97.26 127.22
Atoms (fractional coordinates):
Dy1 0.000 0.000 0.000
Si1 0.500 0.500 0.500
Cl1 0.145 0.407 0.274
Cl2 0.261 0.261 0.737
Cl3 0.407 0.145 0.274
Cl4 0.593 0.855 0.726
Cl5 0.739 0.739 0.263
Cl6 0.855 0.593 0.726

***

Record 15
Entry from the Alexandria database: Dy7SiCl12 after structural relaxation (PBE-GGA).

uncorrected formation energy = -1908 meV per atom
N(E_F) = 8.837 states/eV/cell
magnetic moment = 0.000 μB per atom
space-group type = R-3

abc: 8.778 8.778 8.778
angles: 107.71 107.71 107.71
Atoms (fractional coordinates):
Dy1 0.000 0.000 0.000
Dy2 0.171 0.469 0.389
Dy3 0.389 0.171 0.469
Dy4 0.469 0.389 0.171
Dy5 0.531 0.611 0.829
Dy6 0.611 0.829 0.531
Dy7 0.829 0.531 0.611
Si1 0.500 0.500 0.500
Cl1 0.032 0.113 0.335
Cl2 0.113 0.335 0.032
Cl3 0.187 0.577 0.724
Cl4 0.276 0.813 0.423
Cl5 0.335 0.032 0.113
Cl6 0.423 0.276 0.813
Cl7 0.577 0.724 0.187
Cl8 0.665 0.968 0.887
Cl9 0.724 0.187 0.577
Cl10 0.813 0.423 0.276
Cl11 0.887 0.665 0.968
Cl12 0.968 0.887 0.665

***

Record 16
Entry from the Alexandria database: SmDyCl4 after structural relaxation (PBE-GGA).

uncorrected formation energy = -1877 meV per atom
N(E_F) = 6.594 states/eV/cell
magnetic moment = 0.000 μB per atom
space-group type = C2/c

abc: 9.068 9.068 6.706
angles: 104.02 104.02 129.78
Atoms (fractional coordinates):
Sm1 0.057 0.943 0.750
Sm2 0.943 0.057 0.250
Dy1 0.441 0.559 0.250
Dy2 0.559 0.441 0.750
Cl1 0.083 0.426 0.247
Cl2 0.194 0.333 0.758
Cl3 0.333 0.194 0.258
Cl4 0.426 0.083 0.747
Cl5 0.574 0.917 0.253
Cl6 0.667 0.806 0.742
Cl7 0.806 0.667 0.242
Cl8 0.917 0.574 0.753

***

Record 17
Entry from the Alexandria database: SmDy2Cl after structural relaxation (PBE-GGA).

uncorrected formation energy = -377 meV per atom
N(E_F) = 7.230 states/eV/cell
magnetic moment = 0.001 μB per atom
space-group type = R-3m

abc: 11.368 11.368 11.368
angles: 17.41 17.41 17.41
Atoms (fractional coordinates):
Sm1 0.000 0.000 0.000
Dy1 0.101 0.101 0.101
Dy2 0.899 0.899 0.899
Cl1 0.500 0.500 0.500

***

Record 18
Entry from the Alexandria database: SmDyCl2 after structural relaxation (PBE-GGA).

uncorrected formation energy = -1310 meV per atom
N(E_F) = 1.708 states/eV/cell
magnetic moment = 0.000 μB per atom
space-group type = R-3m

abc: 9.729 9.729 9.729
angles: 21.38 21.38 21.38
Atoms (fractional coordinates):
Sm1 0.000 0.000 0.000
Dy1 0.500 0.500 0.500
Cl1 0.405 0.405 0.405
Cl2 0.595 0.595 0.595

***

Record 19
Entry from the Alexandria database: Sm2DyCl after structural relaxation (PBE-GGA).

uncorrected formation energy = -663 meV per atom
N(E_F) = 3.998 states/eV/cell
magnetic moment = 0.000 μB per atom
space-group type = R-3m

abc: 10.389 10.389 10.389
angles: 20.18 20.18 20.18
Atoms (fractional coordinates):
Sm1 0.240 0.240 0.240
Sm2 0.760 0.760 0.760
Dy1 0.000 0.000 0.000
Cl1 0.500 0.500 0.500

***

Record 20
Entry from the Alexandria database: Dy2SnCl8 after structural relaxation (PBE-GGA).

uncorrected formation energy = -1800 meV per atom
N(E_F) = 0.000 states/eV/cell
magnetic moment = 0.000 μB per atom
space-group type = C2/m

abc: 7.504 7.504 8.617
angles: 91.04 91.04 54.66
Atoms (fractional coordinates):
Dy1 0.143 0.143 0.381
Dy2 0.857 0.857 0.619
Sn1 0.000 0.000 0.000
Cl1 0.068 0.068 0.668
Cl2 0.120 0.616 0.836
Cl3 0.325 0.325 0.463
Cl4 0.384 0.880 0.164
Cl5 0.616 0.120 0.836
Cl6 0.675 0.675 0.537
Cl7 0.880 0.384 0.164
Cl8 0.932 0.932 0.332